The following is a GGA-PBE calculation of a relaxed structure of NaIrOs, from Alexandria.

Properties
**Total magnetization**: 0.0 μB/f.u.
**Energy above the lowest structure with this stoichiometry**: 0.109 eV per atom
**Symmetry**: Pm (6)
**Crystal system**: monoclinic
**Energy relative to the elements**: 0.481 eV/atom

Lattice parameters (Å, degrees): 5.0174 4.4410 6.0086 90.00 114.55 90.00
With the nearest neighbours (Å) after each atom.
Fractional positions:
Na  0.8182  0.0000  0.7112  4 Ir 3.08-3.14, 4 Na 3.28-3.42, 4 Os 3.35
Na  0.3007  0.5000  0.7120  4 Os 3.06-3.17, 4 Na 3.28-3.42, 4 Ir 3.35
Ir  0.2005  0.0000  0.2669  4 Os 2.55-2.62, 2 Ir 2.58
Ir  0.6455  0.0000  0.1563  4 Os 2.55-2.62, 2 Ir 2.58
Os  0.4782  0.5000  0.2652  4 Ir 2.55-2.62, 2 Os 2.58
Os  0.9249  0.5000  0.1581  4 Ir 2.55-2.62, 2 Os 2.58